Material: TmMnPd14
Method: DFT, GGA-PBE
State: optimized geometry

Cell lengths 5.636, 5.636, 7.947 Å; angles 90.00, 90.00, 90.00 degrees
Space group P4/mmm (No. 123)
Symmetry-distinct sites (fractional):
Tm 0.000 0.000 0.000
Mn 0.500 0.500 0.000
Pd 0.000 0.000 0.500
Pd 0.000 0.500 0.000
Pd 0.000 0.500 0.500
Pd 0.253 0.253 0.251
Pd 0.500 0.500 0.500

Crystal system = tetragonal
Formation enthalpy at 0 K = -266 meV/atom